No. 1
Material: Mg3HPd2
Method: DFT, GGA-PBE
State: optimized geometry

```
Mg3HPd2
1.0
6.344 -2.496 0.000
6.344 2.496 0.000
-1.374 0.000 5.727
Mg H Pd
6 2 4
Direct
0.001 0.999 0.750
0.374 0.375 0.437
0.375 0.374 0.937
0.625 0.626 0.063
0.626 0.625 0.563
0.999 0.001 0.250
0.499 0.501 0.750
0.501 0.499 0.250
0.191 0.192 0.096
0.192 0.191 0.596
0.808 0.809 0.404
0.809 0.808 0.904
```

D(E_F) = 0.1923 states/eV per atom
magnetic moment = 0.0 μB/f.u.
total energy = -0.1273 hartree per atom
ρ = 5.3 g/cm3



No. 2
Material: Mg3H12Pd5
Method: DFT, GGA-PBE
State: optimized geometry

```
Mg3H12Pd5
1.0
-5.652 5.652 5.652
5.652 -5.652 5.652
5.652 5.652 -5.652
Mg H Pd
12 48 20
Direct
0.125 0.250 0.375
0.125 0.375 0.750
0.250 0.375 0.125
0.250 0.875 0.625
0.375 0.125 0.250
0.375 0.750 0.125
0.625 0.250 0.875
0.625 0.875 0.750
0.750 0.125 0.375
0.750 0.625 0.875
0.875 0.625 0.250
0.875 0.750 0.625
0.034 0.202 0.129
0.034 0.332 0.906
0.074 0.702 0.668
0.074 0.871 0.406
0.094 0.629 0.426
0.094 0.966 0.668
0.129 0.034 0.202
0.129 0.594 0.926
0.168 0.202 0.574
0.168 0.466 0.594
0.202 0.129 0.034
0.202 0.574 0.168
0.298 0.332 0.926
0.298 0.466 0.371
0.332 0.906 0.034
0.332 0.926 0.298
0.371 0.298 0.466
0.371 0.574 0.906
0.406 0.074 0.871
0.406 0.832 0.534
0.426 0.094 0.629
0.426 0.832 0.798
0.466 0.371 0.298
0.466 0.594 0.168
0.534 0.406 0.832
0.534 0.629 0.702
0.574 0.168 0.202
0.574 0.906 0.371
0.594 0.168 0.466
0.594 0.926 0.129
0.629 0.426 0.094
0.629 0.702 0.534
0.668 0.074 0.702
0.668 0.094 0.966
0.702 0.534 0.629
0.702 0.668 0.074
0.798 0.426 0.832
0.798 0.871 0.966
0.832 0.534 0.406
0.832 0.798 0.426
0.871 0.406 0.074
0.871 0.966 0.798
0.906 0.034 0.332
0.906 0.371 0.574
0.926 0.129 0.594
0.926 0.298 0.332
0.966 0.668 0.094
0.966 0.798 0.871
0.000 0.000 0.000
0.000 0.000 0.500
0.000 0.500 0.000
0.000 0.500 0.500
0.125 0.750 0.875
0.125 0.875 0.250
0.250 0.125 0.875
0.250 0.625 0.375
0.375 0.250 0.625
0.375 0.625 0.750
0.500 0.000 0.000
0.500 0.000 0.500
0.500 0.500 0.000
0.500 0.500 0.500
0.625 0.375 0.250
0.625 0.750 0.375
0.750 0.375 0.625
0.750 0.875 0.125
0.875 0.125 0.750
0.875 0.250 0.125
```

D(E_F) = 0.1654 states/eV per atom
magnetic moment = 0.0 μB/f.u.
total energy = -0.1347 hartree per atom
ρ = 5.7 g/cm3



No. 3
Material: Mg2H3Pd9
Method: DFT, GGA-PBE
State: optimized geometry

```
Mg2H3Pd9
1.0
6.780 0.000 0.000
-3.315 6.522 0.000
-0.619 -3.826 8.426
Mg H Pd
4 6 18
Direct
0.000 0.000 0.000
0.094 0.874 0.417
0.499 0.246 0.959
0.593 0.127 0.369
0.070 0.581 0.605
0.075 0.503 0.115
0.215 0.068 0.230
0.517 0.630 0.255
0.522 0.546 0.771
0.797 0.060 0.684
0.097 0.056 0.724
0.170 0.788 0.117
0.221 0.793 0.813
0.249 0.605 0.476
0.343 0.520 0.900
0.374 0.335 0.563
0.429 0.349 0.259
0.497 0.071 0.650
0.601 0.979 0.063
0.634 0.818 0.745
0.684 0.843 0.447
0.717 0.685 0.140
0.774 0.544 0.834
0.819 0.583 0.540
0.876 0.434 0.233
0.908 0.285 0.926
0.959 0.310 0.628
0.997 0.142 0.310
```

D(E_F) = 0.3460 states/eV per atom
magnetic moment = 0.0 μB/f.u.
total energy = -0.1668 hartree per atom
ρ = 9.0 g/cm3